No. 1
Material: ZrHgP2Cl
Method: DFT, PBE-GGA
State: optimized geometry

Structure (extended XYZ):
```
5
Lattice="4.906 0.000 0.000 0.000 4.906 0.000 0.000 0.000 5.026" Properties=species:S:1:pos:R:3 pbc="T T T"
P 0.000 2.453 0.000
P 2.453 0.000 0.000
Hg 0.000 0.000 0.000
Zr 2.453 2.453 2.513
Cl 0.000 0.000 2.513
```

## Properties
calculated density: 5.34 g/cm³
polymorph energy (0 for the lowest one): 929.1 meV/atom

***

No. 2
Material: ZrHgPCl2
Method: DFT, PBE-GGA
State: optimized geometry

Structure (extended XYZ):
```
5
Lattice="5.036 0.000 0.000 0.000 5.036 0.000 0.000 0.000 5.182" Properties=species:S:1:pos:R:3 pbc="T T T"
P 0.000 0.000 2.591
Hg 0.000 0.000 0.000
Zr 2.518 2.518 2.591
Cl 0.000 2.518 0.000
Cl 2.518 0.000 0.000
```

## Properties
calculated density: 4.98 g/cm³
polymorph energy (0 for the lowest one): 1180.9 meV/atom

***

No. 3
Material: PaHgCl5
Method: DFT, PBE-GGA
State: optimized geometry

Structure (extended XYZ):
```
14
Lattice="-2.764 -7.156 3.375 6.773 -3.665 3.307 -0.286 0.978 10.070" Properties=species:S:1:pos:R:3 pbc="T T T"
Pa 0.000 0.000 0.000
Pa -0.143 0.489 5.035
Hg 1.685 -4.715 10.894
Hg 2.037 -5.128 5.858
Cl -0.693 -1.481 9.845
Cl 5.178 -5.009 9.224
Cl 1.752 -1.127 4.793
Cl -2.006 -6.066 10.921
Cl 4.184 -2.228 12.522
Cl -0.461 -7.615 4.230
Cl 5.729 -3.777 5.832
Cl 1.971 -8.716 11.959
Cl -1.456 -4.834 7.528
Cl 4.415 -8.362 6.908
```

## Properties
calculated density: 3.24 g/cm³

***

No. 4
Material: PaHgCl4
Method: DFT, PBE-GGA
State: optimized geometry

Structure (extended XYZ):
```
12
Lattice="6.062 0.000 -2.332 -0.882 7.250 -2.292 0.700 0.334 10.864" Properties=species:S:1:pos:R:3 pbc="T T T"
Pa 2.499 7.417 1.974
Pa 5.971 3.792 1.954
Hg 5.105 5.438 -3.938
Hg 0.074 1.813 -0.686
Cl 2.801 0.833 6.635
Cl 3.952 3.125 0.585
Cl 3.079 6.750 -0.395
Cl 1.927 4.458 5.655
Cl 4.635 5.982 2.965
Cl 0.830 5.227 2.119
Cl 1.245 1.602 3.275
Cl 5.050 2.357 4.121
```

## Properties
calculated density: 3.85 g/cm³

***

No. 5
Material: PaHg2Cl8
Method: DFT, PBE-GGA
State: optimized geometry

Structure (extended XYZ):
```
11
Lattice="5.812 -0.487 -0.340 0.324 7.853 -0.517 0.324 2.217 7.552" Properties=species:S:1:pos:R:3 pbc="T T T"
Pa 0.000 0.000 0.000
Hg 1.516 3.796 2.652
Hg 4.945 5.787 4.042
Cl 1.579 2.201 5.332
Cl 1.579 5.764 0.231
Cl 4.882 7.382 1.362
Cl 1.892 5.901 4.122
Cl 4.882 3.819 6.463
Cl 1.759 1.583 1.106
Cl 4.702 8.000 5.588
Cl 4.569 3.682 2.572
```

## Properties
calculated density: 4.31 g/cm³

***

No. 6
Material: Pa2HgCl9
Method: DFT, PBE-GGA
State: optimized geometry

Structure (extended XYZ):
```
12
Lattice="-2.151 -3.420 -0.510 6.833 -3.368 -6.225 0.746 -1.905 9.623" Properties=species:S:1:pos:R:3 pbc="T T T"
Pa 2.775 -2.393 4.340
Pa 4.804 -2.880 -0.943
Hg 0.000 0.000 0.000
Cl 0.373 -0.952 4.811
Cl 3.789 -2.637 1.699
Cl 3.416 -1.684 -3.113
Cl 2.135 -3.635 -0.885
Cl 1.026 -3.941 5.837
Cl 0.779 -3.309 2.645
Cl 4.649 -5.384 0.242
Cl 4.401 -4.752 -2.950
Cl 3.293 -5.058 3.772
```

## Properties
calculated density: 4.78 g/cm³

***

No. 7
Material: PaHgCl2
Method: DFT, PBE-GGA
State: optimized geometry

Structure (extended XYZ):
```
4
Lattice="-0.188 -0.059 -3.430 -2.451 -1.837 -1.555 -8.064 8.756 -1.429" Properties=species:S:1:pos:R:3 pbc="T T T"
Pa -5.352 3.430 -3.207
Hg 0.000 0.000 0.000
Cl -5.677 5.636 -1.506
Cl -5.026 1.223 -4.907
```

## Properties
calculated density: 6.91 g/cm³

***

No. 8
Material: PaHg2Cl5
Method: DFT, PBE-GGA
State: optimized geometry

Structure (extended XYZ):
```
8
Lattice="-2.862 -4.487 1.600 4.897 -6.355 0.590 -0.074 -0.531 8.027" Properties=species:S:1:pos:R:3 pbc="T T T"
Pa -2.759 -4.324 1.543
Hg 0.349 -6.674 5.460
Hg 1.781 -4.431 4.660
Cl 2.592 -10.104 4.554
Cl 2.806 -5.346 8.629
Cl -0.638 -5.702 1.473
Cl -0.423 -0.944 5.547
Cl -1.327 -2.081 0.742
```

## Properties
calculated density: 4.24 g/cm³

***

No. 9
Material: RbPaHgCl6
Method: DFT, PBE-GGA
State: optimized geometry

Structure (extended XYZ):
```
18
Lattice="-3.567 -7.119 -2.203 3.389 0.776 7.494 -12.307 4.591 5.089" Properties=species:S:1:pos:R:3 pbc="T T T"
Rb -2.007 -0.708 5.534
Rb -10.479 -1.044 4.846
Pa -4.325 -3.339 2.301
Pa -8.160 1.588 8.079
Hg 0.000 0.000 0.000
Hg -6.154 2.295 2.545
Cl -2.157 -3.553 3.656
Cl -3.927 -5.656 1.275
Cl -6.031 1.235 9.465
Cl -8.559 3.905 9.105
Cl -4.690 -1.080 3.460
Cl -5.694 -4.510 4.128
Cl -9.457 0.498 10.005
Cl -6.454 -2.987 0.915
Cl -6.791 2.759 6.253
Cl -3.028 -2.250 0.375
Cl -7.795 -0.672 6.921
Cl -10.328 1.801 6.724
```

## Properties
calculated density: 2.91 g/cm³

***

No. 10
Material: PaHg3S2Cl6
Method: DFT, PBE-GGA
State: optimized geometry

Structure (extended XYZ):
```
12
Lattice="7.252 0.000 -1.478 0.000 7.624 0.000 -3.143 -3.812 8.303" Properties=species:S:1:pos:R:3 pbc="T T T"
Pa 3.626 0.000 -0.739
Hg 0.000 3.812 0.000
Hg 2.055 1.906 3.413
Hg 2.055 -1.906 3.413
S 0.922 3.812 2.431
S 3.187 0.000 4.395
Cl 4.698 1.800 0.702
Cl -0.589 2.012 6.124
Cl 2.559 3.812 6.011
Cl 1.550 0.000 0.814
Cl -0.589 -2.012 6.124
Cl 4.698 5.823 0.702
```

## Properties
calculated density: 4.35 g/cm³

***

Here are the calculated E_form (uncorrected) numbers, same order: 0.828, 0.518, -1.544, -1.494, -1.156, -1.558, -1.156, -1.356, -1.706, -1.025 (eV per atom).